# Cs2YSn2

Cs2YSn2 after structural relaxation (PBE, Alexandria).

Output
The calculation puts the total energy at -14.4 eV/f.u. The value obtained for the polymorph energy (0 for the lowest one) is 36.6 kJ per mole of atoms.

Unit cell a=4.195 b=4.195 c=28.019 alpha=90.00 beta=90.00 gamma=90.00
Space group I4/mmm (No. 139)
Symmetry-distinct sites (fractional):
1 Cs 0.000 0.000 0.125 [4 per cell]
2 Y 0.000 0.000 0.500 [2 per cell]
3 Sn 0.000 0.500 0.250 [4 per cell]